Density functional theory data (GGA-PBE) for an optimized crystal structure of PaHgIO6.

Computed properties:
- DFT total energy (eV per atom) = -5.983

a b c (Å): 5.7914 5.7914 9.6707
angles (deg): 90.00 90.00 120.00
Element x y z (fractional)
O: 0.6465 0.0106 0.3628
O: 0.0106 0.3641 0.6372
O: 0.3641 0.0106 0.1372
O: 0.3641 0.3535 0.3628
O: 0.9894 0.3535 0.1372
O: 0.0106 0.6465 0.8628
O: 0.3535 0.9894 0.6372
O: 0.6359 0.6465 0.6372
O: 0.9894 0.6359 0.3628
O: 0.6359 0.9894 0.8628
O: 0.3535 0.3641 0.8628
O: 0.6465 0.6359 0.1372
Pa: 0.3333 0.6667 0.2500
Pa: 0.6667 0.3333 0.7500
Hg: 0.0000 0.0000 0.5000
Hg: 0.0000 0.0000 0.0000
I: 0.3333 0.6667 0.7500
I: 0.6667 0.3333 0.2500